Compound: CuAg2P
Source: Alexandria via LeMat-Bulk
Functional: GGA-PBE
Structure: optimized geometry

* ΔH_f (0 K): 166.4 meV/atom
* spin magnetization: 0.0 Bohr magnetons per cell
* calculated volume: 16.03 Å³ per atom

```
CuAg2P
1.0
3.049 0.000 0.000
0.000 4.084 0.000
-1.494 0.000 5.148
Cu Ag P
1 2 1
Direct
0.000 0.000 0.000 Cu
0.379 0.500 0.756 Ag
0.735 0.000 0.464 Ag
0.107 0.500 0.210 P
```